Entry 1:
## TeI3N (PBE)

Data for crystalline TeI3N at its relaxed geometry.

Unit cell a=6.032 b=6.032 c=6.032 alpha=90.00 beta=90.00 gamma=90.00
Fractional coordinates of all 5 atoms:
Te1 0.000 0.000 0.000
I1 0.000 0.000 0.500
I2 0.000 0.500 0.000
I3 0.500 0.000 0.000
N1 0.500 0.500 0.500



Entry 2:
## TeI2N (PBE)

Data for crystalline TeI2N at its relaxed geometry.

Unit cell a=4.192 b=7.908 c=12.831 alpha=106.68 beta=90.06 gamma=105.17
Fractional coordinates of all 8 atoms:
Te1 0.005 0.038 0.200
Te2 0.995 0.962 0.800
I1 0.378 0.725 0.857
I2 0.390 0.803 0.259
I3 0.610 0.197 0.741
I4 0.622 0.275 0.143
N1 0.059 0.455 0.516
N2 0.941 0.545 0.484



Entry 3:
## Te3IN (PBE)

Data for crystalline Te3IN at its relaxed geometry.

Unit cell a=4.947 b=4.947 c=4.947 alpha=90.00 beta=90.00 gamma=90.00
Fractional coordinates of all 5 atoms:
Te1 0.000 0.000 0.500
Te2 0.000 0.500 0.000
Te3 0.500 0.000 0.000
I1 0.500 0.500 0.500
N1 0.000 0.000 0.000



Entry 4:
## TiTe2IN (PBE)

Data for crystalline TiTe2IN at its relaxed geometry.

Unit cell a=5.865 b=5.865 c=3.936 alpha=90.00 beta=90.00 gamma=90.00
Fractional coordinates of all 5 atoms:
Ti1 0.000 0.000 0.000
Te1 0.000 0.500 0.500
Te2 0.500 0.000 0.500
I1 0.500 0.500 0.500
N1 0.500 0.500 0.000



Entry 5:
## TiTeIN2 (PBE)

Data for crystalline TiTeIN2 at its relaxed geometry.

Unit cell a=4.101 b=4.101 c=5.995 alpha=90.00 beta=90.00 gamma=90.00
Fractional coordinates of all 5 atoms:
Ti1 0.000 0.000 0.000
Te1 0.500 0.500 0.500
I1 0.000 0.000 0.500
N1 0.000 0.500 0.000
N2 0.500 0.000 0.000



Entry 6:
## TiTeIN2 (PBE)

Data for crystalline TiTeIN2 at its relaxed geometry.

Unit cell a=4.089 b=4.089 c=6.052 alpha=90.00 beta=90.00 gamma=90.00
Fractional coordinates of all 5 atoms:
Ti1 0.000 0.000 0.000
Te1 0.000 0.000 0.500
I1 0.500 0.500 0.500
N1 0.000 0.500 0.000
N2 0.500 0.000 0.000



no.,formation energy without anion corrections (kJ/mol of atoms),E_tot (eV/atom)
1,98,-2.21
2,-1,-3.65
3,84,-2.99
4,118,-3.58
5,69,-5.13
6,57,-5.26